The following is a PBE-GGA calculation of a relaxed structure of HgP3Ir, from Alexandria via LeMat-Bulk.

Cell lengths 4.6991, 4.6991, 4.6991 Å; angles 90.00, 90.00, 90.00 degrees
Last column: nearest neighbours and their distance in Å.
Fractional coordinates of all 5 atoms:
Hg1 0.5000 0.5000 0.5000  12 P 3.32
P1 0.0000 0.5000 0.0000  2 Ir 2.35
P2 0.5000 0.0000 0.0000  2 Ir 2.35
P3 0.0000 0.0000 0.5000  2 Ir 2.35
Ir1 0.0000 0.0000 0.0000  6 P 2.35

Properties
Its density of states at the Fermi level is 4.9 states/eV per cell. The calculation puts the formation energy at 0.713 eV/atom. The space group is Pm-3m (221). The energy above the lowest structure with this stoichiometry comes out at 0.0 kJ per mole of atoms. As for the magnetization: 0.000 μB/f.u.